# Ba2Ge2W

Ba2Ge2W after structural relaxation (GGA-PBE, Alexandria via LeMat-Bulk).

Lattice parameters (Å, degrees): 3.6516 3.6516 21.7795 90.00 90.00 90.00
Space group I4/mmm (No. 139)
Asymmetric unit:
Ba1 0.0000 0.0000 0.1066 x4
Ge1 0.0000 0.5000 0.2500 x4
W1 0.0000 0.0000 0.5000 x2

Output
* ΔE to the lowest computed polymorph: 0.000 eV/atom
* density: 6.9 g/cm3
* ΔH_f (0 K): 0.80 eV/atom
* magnetization: 0.000 μB/f.u.

***

# SrYCo2

SrYCo2 after structural relaxation (GGA-PBE, Alexandria via LeMat-Bulk).

Lattice parameters (Å, degrees): 3.9901 4.2234 11.3640 90.00 90.00 90.00
Space group Amm2 (No. 38)
Asymmetric unit:
Sr1 0.0000 0.0000 0.0000 x2
Y1 0.5000 0.0000 0.2751 x2
Co1 0.0000 0.0000 0.7063 x2
Co2 0.5000 0.0000 0.6236 x2

Output
* ΔE to the lowest computed polymorph: 0.094 eV/atom
* density: 5.1 g/cm3
* ΔH_f (0 K): 0.07 eV/atom
* magnetization: 1.128 μB/f.u.

***

# Rb2TlAg2Br6

Rb2TlAg2Br6 after structural relaxation (GGA-PBE, Alexandria via LeMat-Bulk).

Lattice parameters (Å, degrees): 14.7710 8.0587 7.8956 90.00 118.52 90.00
Space group C2/m (No. 12)
Asymmetric unit:
Rb1 0.2379 0.0000 0.1895 x4
Tl1 0.0000 0.0000 0.5000 x2
Ag1 0.0681 0.5000 0.2056 x4
Br1 0.0579 0.2567 0.8128 x8
Br2 0.2334 0.0000 0.6254 x4

Output
* formation energy (no corrections): -894 meV/atom
* density: 4.3 g/cm3
* magnetization: 0.000 μB/f.u.

***

# Al2TlRu

Al2TlRu after structural relaxation (GGA-PBE, Alexandria via LeMat-Bulk).

Lattice parameters (Å, degrees): 4.0705 4.0705 8.0945 90.00 90.00 90.00
Space group I4/mmm (No. 139)
Asymmetric unit:
Al1 0.0000 0.5000 0.2500 x4
Tl1 0.0000 0.0000 0.0000 x2
Ru1 0.0000 0.0000 0.5000 x2

Output
* ΔE to the lowest computed polymorph: 0.359 eV/atom
* density: 8.9 g/cm3
* ΔH_f (0 K): 0.12 eV/atom
* magnetization: 0.000 μB/f.u.

***

# Na2Ac5Co2

Na2Ac5Co2 after structural relaxation (GGA-PBE, Alexandria via LeMat-Bulk).

Lattice parameters (Å, degrees): 8.0232 11.7501 15.8851 90.00 90.00 90.00
Space group Fmmm (No. 69)
Asymmetric unit:
Na1 0.0000 0.0000 0.2432 x8
Ac1 0.0000 0.0000 0.5000 x4
Ac2 0.2500 0.2500 0.1217 x16
Co1 0.0000 0.2207 0.5000 x8

Output
* density: 5.8 g/cm3
* ΔH_f (0 K): 0.22 eV/atom
* magnetization: 0.000 μB/f.u.

***

# KMo2W

KMo2W after structural relaxation (GGA-PBE, Alexandria via LeMat-Bulk).

Lattice parameters (Å, degrees): 6.6011 6.6011 6.6011 90.00 90.00 90.00
Space group Fm-3m (No. 225)
Asymmetric unit:
K1 0.0000 0.0000 0.0000 x4
Mo1 0.2500 0.2500 0.2500 x8
W1 0.0000 0.0000 0.5000 x4

Output
* ΔE to the lowest computed polymorph: 0.808 eV/atom
* density: 9.6 g/cm3
* ΔH_f (0 K): 1.56 eV/atom
* magnetization: 0.000 μB/f.u.

***

# Sm6MgAg

Sm6MgAg after structural relaxation (GGA-PBE, Alexandria via LeMat-Bulk).

Lattice parameters (Å, degrees): 9.1465 9.1465 10.1197 90.00 90.00 120.00
Space group R-3 (No. 148, hexagonal axes)
Asymmetric unit:
Sm1 0.0235 0.7735 0.2212 x18
Mg1 0.0000 0.0000 0.5000 x3
Ag1 0.0000 0.0000 0.0000 x3

Output
* ΔE to the lowest computed polymorph: 0.081 eV/atom
* density: 7.0 g/cm3
* ΔH_f (0 K): 0.02 eV/atom
* magnetization: 0.000 μB/f.u.

***

# Dy6YTm4

Dy6YTm4 after structural relaxation (GGA-PBE, Alexandria via LeMat-Bulk).

Lattice parameters (Å, degrees): 6.5073 6.5073 17.0089 90.00 90.00 90.00
Space group I-42m (No. 121)
Asymmetric unit:
Dy1 0.0000 0.5000 0.0000 x4
Dy2 0.1869 0.1869 0.1739 x8
Y1 0.0000 0.0000 0.0000 x2
Tm1 0.1799 0.1799 0.3685 x8

Output
* ΔE to the lowest computed polymorph: 0.191 eV/atom
* density: 8.0 g/cm3
* ΔH_f (0 K): 0.32 eV/atom
* magnetization: 0.000 μB/f.u.